[1]
This record from the Alexandria database describes a relaxed structure of K3LiZr3S8. The functional is PBE.

Properties
**ΔE_f (raw)**: -1.47 eV per atom
**SG**: R-3m, No. 166

Cell lengths 7.5956, 7.5957, 8.6144 Å; angles 116.16, 90.00, 119.99 degrees
Last column: nearest neighbours and their distance in Å.
Atoms (fractional coordinates):
1 K 0.0000 0.5000 0.0000  6 S 3.13-3.21
2 K 0.0000 0.0000 0.0000  6 S 3.13-3.21
3 K 0.5000 0.5000 0.0000  6 S 3.13-3.21
4 S 0.7331 0.4661 0.6992  3 Zr 2.64
5 S 0.2365 0.4731 0.6893  2 Zr 2.57, 1 Li 2.68
6 S 0.2669 0.5339 0.3008  3 Zr 2.64
7 S 0.7635 0.0472 0.3107  2 Zr 2.57, 1 Li 2.68
8 S 0.2365 0.9528 0.6893  2 Zr 2.57, 1 Li 2.68
9 S 0.2838 0.0472 0.3107  2 Zr 2.57, 1 Li 2.68
10 S 0.7162 0.9528 0.6893  2 Zr 2.57, 1 Li 2.68
11 S 0.7635 0.5269 0.3107  2 Zr 2.57, 1 Li 2.68
12 Li 0.0000 0.0000 0.5000  6 S 2.68
13 Zr 0.5000 0.0000 0.5000  6 S 2.57-2.64
14 Zr 0.0000 0.5000 0.5000  6 S 2.57-2.64
15 Zr 0.5000 0.5000 0.5000  6 S 2.57-2.64


[2]
This record from the Alexandria database describes a relaxed structure of KLi2ZrS. The functional is PBE.

Properties
**ΔE_f (raw)**: 1.15 eV per atom
**SG**: P4/mmm, No. 123

Cell lengths 5.3851, 6.4749, 5.3851 Å; angles 90.00, 90.00, 90.00 degrees
Last column: nearest neighbours and their distance in Å.
Atoms (fractional coordinates):
1 Li 0.5000 0.0000 0.0000  2 Zr 2.69
2 Li 0.0000 0.0000 0.5000  2 Zr 2.69
3 Zr 0.0000 0.0000 0.0000  4 Li 2.69
4 S 0.5000 0.5000 0.5000  4 K 3.81, 8 Li 4.21
5 K 0.0000 0.5000 0.0000  2 Zr 3.24


[3]
This record from the Alexandria database describes a relaxed structure of KLi2Sb. The functional is PBE.

Properties
**ΔE_f (raw)**: -0.56 eV per atom
**SG**: R-3m, No. 166

Cell lengths 4.7731, 4.7733, 6.3810 Å; angles 90.02, 68.04, 60.00 degrees
Last column: nearest neighbours and their distance in Å.
Atoms (fractional coordinates):
1 Li 0.1195 0.4403 0.3206  3 Sb 2.79, 3 Li 2.87
2 Li 0.8805 0.0597 0.1794  3 Sb 2.79, 3 Li 2.87
3 K 0.5000 0.2500 0.7500  2 Li 3.28
4 Sb 0.5000 0.7500 0.2500  6 Li 2.79